Entry 1:
The following is a PBE-GGA calculation of a relaxed Sr3PuBi3 crystal, from Alexandria via LeMat-Bulk.

Values from the calculation:
VASP energy = -5.01 eV/atom

Cell lengths 9.5298, 14.4833, 8.6379 Å; angles 90.00, 95.22, 90.00 degrees
Space group C2/m (No. 12)
Asymmetric unit:
1 Sr 0.0000 0.1609 0.0000 [4 per cell]
2 Sr 0.0000 0.2215 0.5000 [4 per cell]
3 Sr 0.1072 0.5000 0.8469 [4 per cell]
4 Pu 0.2171 0.0000 0.6281 [4 per cell]
5 Bi 0.0880 0.0000 0.2848 [4 per cell]
6 Bi 0.1683 0.3278 0.2053 [8 per cell]

Entry 2:
The following is a PBE-GGA calculation of a relaxed SrPuBi crystal, from Alexandria via LeMat-Bulk.

Values from the calculation:
energy above the most stable polymorph in this dataset = 0.000 eV/atom

Cell lengths 4.7540, 4.7540, 9.1705 Å; angles 90.00, 90.00, 90.00 degrees
Space group P4/nmm (No. 129, origin choice 2)
Asymmetric unit:
1 Sr 0.2500 0.2500 0.1496 [2 per cell]
2 Pu 0.2500 0.7500 0.5000 [2 per cell]
3 Bi 0.2500 0.2500 0.7639 [2 per cell]

Entry 3:
The following is a PBE-GGA calculation of a relaxed Sr2PuThBi4 crystal, from Alexandria via LeMat-Bulk.

Values from the calculation:
VASP energy = -5.73 eV/atom

Cell lengths 8.1205, 4.7042, 8.2152 Å; angles 90.00, 109.37, 90.00 degrees
Space group P2/m (No. 10)
Asymmetric unit:
1 Sr 0.0000 0.0000 0.0000 [1 per cell]
2 Sr 0.5000 0.5000 0.0000 [1 per cell]
3 Pu 0.0000 0.5000 0.5000 [1 per cell]
4 Th 0.5000 0.0000 0.5000 [1 per cell]
5 Bi 0.2385 0.0000 0.7254 [2 per cell]
6 Bi 0.2540 0.5000 0.2702 [2 per cell]

Entry 4:
The following is a PBE-GGA calculation of a relaxed SrPuTlBi crystal, from Alexandria via LeMat-Bulk.

Values from the calculation:
VASP energy = -5.85 eV/atom

Cell lengths 8.0101, 8.0101, 8.0101 Å; angles 90.00, 90.00, 90.00 degrees
Space group F-43m (No. 216)
Asymmetric unit:
1 Sr 0.0000 0.0000 0.0000 [4 per cell]
2 Pu 0.0000 0.0000 0.5000 [4 per cell]
3 Tl 0.2500 0.2500 0.7500 [4 per cell]
4 Bi 0.2500 0.2500 0.2500 [4 per cell]

Entry 5:
The following is a PBE-GGA calculation of a relaxed Tb2PuBi3 crystal, from Alexandria via LeMat-Bulk.

Values from the calculation:
energy above the most stable polymorph in this dataset = 0.004 eV/atom

Cell lengths 4.5156, 6.3760, 13.5197 Å; angles 90.00, 90.00, 90.00 degrees
Space group Immm (No. 71)
Asymmetric unit:
1 Tb 0.0000 0.0000 0.1664 [4 per cell]
2 Pu 0.0000 0.0000 0.5000 [2 per cell]
3 Bi 0.0000 0.5000 0.1673 [4 per cell]
4 Bi 0.0000 0.5000 0.5000 [2 per cell]

Entry 6:
The following is a PBE-GGA calculation of a relaxed Tb5PuBi6 crystal, from Alexandria via LeMat-Bulk.

Values from the calculation:
VASP energy = -5.85 eV/atom

Cell lengths 7.8025, 13.5053, 7.8004 Å; angles 90.00, 109.46, 90.00 degrees
Space group C2/m (No. 12)
Asymmetric unit:
1 Tb 0.0000 0.0000 0.0000 [2 per cell]
2 Tb 0.0000 0.1668 0.5000 [4 per cell]
3 Tb 0.0000 0.3338 0.0000 [4 per cell]
4 Pu 0.0000 0.5000 0.5000 [2 per cell]
5 Bi 0.2490 0.0000 0.7501 [4 per cell]
6 Bi 0.2491 0.1671 0.2488 [8 per cell]

Entry 7:
The following is a PBE-GGA calculation of a relaxed Tb2PuBi3 crystal, from Alexandria via LeMat-Bulk.

Values from the calculation:
energy above the most stable polymorph in this dataset = 0.000 eV/atom

Cell lengths 9.0258, 12.7566, 27.0243 Å; angles 90.00, 90.00, 90.00 degrees
Space group Fddd (No. 70, origin choice 2)
Asymmetric unit:
1 Tb 0.1250 0.1250 0.0417 [16 per cell]
2 Tb 0.1250 0.1250 0.3751 [16 per cell]
3 Pu 0.1250 0.1250 0.5416 [16 per cell]
4 Bi 0.1243 0.3747 0.2082 [32 per cell]
5 Bi 0.1240 0.3750 0.3750 [16 per cell]

Entry 8:
The following is a PBE-GGA calculation of a relaxed Tb4PuBi5 crystal, from Alexandria via LeMat-Bulk.

Values from the calculation:
VASP energy = -5.99 eV/atom

Cell lengths 4.5062, 4.5062, 31.8025 Å; angles 90.00, 90.00, 90.00 degrees
Space group I4/mmm (No. 139)
Asymmetric unit:
1 Tb 0.0000 0.0000 0.1005 [4 per cell]
2 Tb 0.0000 0.0000 0.2996 [4 per cell]
3 Pu 0.0000 0.0000 0.5000 [2 per cell]
4 Bi 0.0000 0.0000 0.0000 [2 per cell]
5 Bi 0.0000 0.0000 0.2000 [4 per cell]
6 Bi 0.0000 0.0000 0.3995 [4 per cell]

Entry 9:
The following is a PBE-GGA calculation of a relaxed TbPu3Bi4 crystal, from Alexandria via LeMat-Bulk.

Values from the calculation:
VASP energy = -8.35 eV/atom

Cell lengths 7.8407, 9.0928, 7.8360 Å; angles 90.00, 109.72, 90.00 degrees
Space group P2/c (No. 13)
Asymmetric unit:
1 Tb 0.0000 0.1248 0.2500 [2 per cell]
2 Pu 0.0000 0.3749 0.7500 [2 per cell]
3 Pu 0.5000 0.1248 0.7500 [2 per cell]
4 Pu 0.5000 0.3753 0.2500 [2 per cell]
5 Bi 0.2493 0.1239 0.9995 [4 per cell]
6 Bi 0.2486 0.3743 0.4993 [4 per cell]

Entry 10:
The following is a PBE-GGA calculation of a relaxed TbPu2Bi3 crystal, from Alexandria via LeMat-Bulk.

Values from the calculation:
VASP energy = -7.99 eV/atom

Cell lengths 4.5206, 6.3919, 13.5698 Å; angles 90.00, 90.00, 90.00 degrees
Space group Immm (No. 71)
Asymmetric unit:
1 Tb 0.0000 0.0000 0.0000 [2 per cell]
2 Pu 0.0000 0.0000 0.3333 [4 per cell]
3 Bi 0.0000 0.5000 0.0000 [2 per cell]
4 Bi 0.0000 0.5000 0.3336 [4 per cell]

Entry 11:
The following is a PBE-GGA calculation of a relaxed Tb5PuBi4 crystal, from Alexandria via LeMat-Bulk.

Values from the calculation:
VASP energy = -5.69 eV/atom

Cell lengths 19.1414, 4.4470, 8.5287 Å; angles 90.00, 106.78, 90.00 degrees
Space group C2/m (No. 12)
Asymmetric unit:
1 Tb 0.0000 0.0000 0.0000 [2 per cell]
2 Tb 0.1604 0.5000 0.3088 [4 per cell]
3 Tb 0.1828 0.5000 0.8502 [4 per cell]
4 Pu 0.0000 0.0000 0.5000 [2 per cell]
5 Bi 0.0130 0.5000 0.7628 [4 per cell]
6 Bi 0.1708 0.0000 0.5813 [4 per cell]

Entry 12:
The following is a PBE-GGA calculation of a relaxed TbPuBiTe crystal, from Alexandria via LeMat-Bulk.

Values from the calculation:
ΔE_f (raw) = -3.8 eV/f.u.

Cell lengths 4.4725, 4.4725, 21.8440 Å; angles 90.00, 90.00, 120.00 degrees
Space group R3m (No. 160, hexagonal axes)
Asymmetric unit:
1 Tb 0.0000 0.0000 0.0000 [3 per cell]
2 Pu 0.0000 0.0000 0.5011 [3 per cell]
3 Bi 0.0000 0.0000 0.7489 [3 per cell]
4 Te 0.0000 0.0000 0.2511 [3 per cell]

Entry 13:
The following is a PBE-GGA calculation of a relaxed TbPuTh2Bi5 crystal, from Alexandria via LeMat-Bulk.

Values from the calculation:
VASP energy = -5.75 eV/atom

Cell lengths 5.4546, 5.4546, 11.7972 Å; angles 90.00, 90.00, 90.00 degrees
Space group P4/mmm (No. 123)
Asymmetric unit:
1 Tb 0.0000 0.0000 0.0000 [1 per cell]
2 Pu 0.0000 0.0000 0.5000 [1 per cell]
3 Th 0.5000 0.5000 0.1961 [2 per cell]
4 Bi 0.0000 0.0000 0.2505 [2 per cell]
5 Bi 0.0000 0.5000 0.0000 [2 per cell]
6 Bi 0.5000 0.5000 0.5000 [1 per cell]

Entry 14:
The following is a PBE-GGA calculation of a relaxed TbPuTlBi crystal, from Alexandria via LeMat-Bulk.

Values from the calculation:
VASP energy = -6.58 eV/atom

Cell lengths 7.7103, 7.7103, 7.7103 Å; angles 90.00, 90.00, 90.00 degrees
Space group F-43m (No. 216)
Asymmetric unit:
1 Tb 0.0000 0.0000 0.0000 [4 per cell]
2 Pu 0.0000 0.0000 0.5000 [4 per cell]
3 Tl 0.2500 0.2500 0.7500 [4 per cell]
4 Bi 0.2500 0.2500 0.2500 [4 per cell]

Entry 15:
The following is a PBE-GGA calculation of a relaxed Pu2TcBi crystal, from Alexandria via LeMat-Bulk.

Values from the calculation:
energy above the most stable polymorph in this dataset = 0.000 eV/atom

Cell lengths 3.8713, 3.8713, 6.1646 Å; angles 90.00, 90.00, 90.00 degrees
Space group P4/mmm (No. 123)
Asymmetric unit:
1 Pu 0.0000 0.0000 0.2272 [2 per cell]
2 Tc 0.5000 0.5000 0.0000 [1 per cell]
3 Bi 0.5000 0.5000 0.5000 [1 per cell]

Entry 16:
The following is a PBE-GGA calculation of a relaxed Pu2TcBi crystal, from Alexandria via LeMat-Bulk.

Values from the calculation:
energy above the most stable polymorph in this dataset = 0.027 eV/atom

Cell lengths 4.5527, 4.5527, 4.4238 Å; angles 90.00, 90.00, 90.00 degrees
Space group P4/mmm (No. 123)
Asymmetric unit:
1 Pu 0.0000 0.5000 0.0000 [2 per cell]
2 Tc 0.0000 0.0000 0.5000 [1 per cell]
3 Bi 0.5000 0.5000 0.5000 [1 per cell]

Entry 17:
The following is a PBE-GGA calculation of a relaxed Pu6BiTe5 crystal, from Alexandria via LeMat-Bulk.

Values from the calculation:
ΔE_f (raw) = -11.6 eV/f.u.

Cell lengths 7.7285, 13.3897, 7.7322 Å; angles 90.00, 109.47, 90.00 degrees
Space group C2/m (No. 12)
Asymmetric unit:
1 Pu 0.2470 0.0000 0.2507 [4 per cell]
2 Pu 0.2478 0.1681 0.7482 [8 per cell]
3 Bi 0.0000 0.5000 0.0000 [2 per cell]
4 Te 0.0000 0.0000 0.5000 [2 per cell]
5 Te 0.0000 0.1669 0.0000 [4 per cell]
6 Te 0.0000 0.3344 0.5000 [4 per cell]

Entry 18:
The following is a PBE-GGA calculation of a relaxed PuBiTe2 crystal, from Alexandria via LeMat-Bulk.

Values from the calculation:
energy above the most stable polymorph in this dataset = 0.000 eV/atom
ΔE_f (raw) = -2.0 eV/f.u.

Cell lengths 5.4374, 5.4374, 3.9470 Å; angles 90.00, 90.00, 90.00 degrees
Space group P4/mmm (No. 123)
Asymmetric unit:
1 Pu 0.0000 0.0000 0.0000 [1 per cell]
2 Bi 0.5000 0.5000 0.0000 [1 per cell]
3 Te 0.0000 0.5000 0.5000 [2 per cell]

Entry 19:
The following is a PBE-GGA calculation of a relaxed PuBiTe3 crystal, from Alexandria via LeMat-Bulk.

Values from the calculation:
ΔE_f (raw) = -2.3 eV/f.u.

Cell lengths 8.0586, 4.5681, 11.8131 Å; angles 90.00, 103.44, 90.00 degrees
Space group P2_1/m (No. 11)
Asymmetric unit:
1 Pu 0.0066 0.2500 0.1689 [2 per cell]
2 Bi 0.4726 0.7500 0.3219 [2 per cell]
3 Te 0.1697 0.2500 0.7325 [2 per cell]
4 Te 0.2191 0.7500 0.0839 [2 per cell]
5 Te 0.2808 0.2500 0.4093 [2 per cell]

Entry 20:
The following is a PBE-GGA calculation of a relaxed Pu8Bi5Te crystal, from Alexandria via LeMat-Bulk.

Values from the calculation:
ΔE_f (raw) = -5.3 eV/f.u.

Cell lengths 9.4487, 9.4487, 9.5243 Å; angles 90.00, 90.00, 90.00 degrees
Space group I-4 (No. 82)
Asymmetric unit:
1 Pu 0.0735 0.3319 0.0482 [8 per cell]
2 Pu 0.0768 0.1754 0.7027 [8 per cell]
3 Bi 0.0000 0.0000 0.0000 [2 per cell]
4 Bi 0.1260 0.2475 0.3745 [8 per cell]
5 Te 0.0000 0.5000 0.7500 [2 per cell]

Entry 21:
The following is a PBE-GGA calculation of a relaxed PuBiTe2 crystal, from Alexandria via LeMat-Bulk.

Values from the calculation:
energy above the most stable polymorph in this dataset = 0.516 eV/atom
ΔE_f (raw) = 0.1 eV/f.u.

Cell lengths 4.3240, 4.3240, 29.8633 Å; angles 90.00, 90.00, 120.00 degrees
Space group R-3m (No. 166, hexagonal axes)
Asymmetric unit:
1 Pu 0.0000 0.0000 0.0000 [3 per cell]
2 Bi 0.0000 0.0000 0.5000 [3 per cell]
3 Te 0.0000 0.0000 0.1036 [6 per cell]